## NbFe2Sb (PBE)

Data for a relaxed NbFe2Sb crystal.

Values from the calculation:
D(E_F) ... 1.43 states/eV/atom
Formation energy (no corrections) ... 0.514 eV per atom
Energy ... -7.265 eV/atom
Spin magnetization ... 3.1 μB/f.u.

Cell: 3.9868 3.9868 9.1667 Å, 77.44 77.44 90.00°
With the nearest neighbours (Å) after each atom.
Positions (direct):
Fe (0.6257, 0.1250, 0.2500)  2 Sb 2.60, 2 Nb 2.60, 4 Fe 2.82
Fe (0.3750, 0.3743, 0.7500)  2 Sb 2.60, 2 Nb 2.60, 4 Fe 2.82
Fe (0.1243, 0.6250, 0.2500)  2 Sb 2.60, 2 Nb 2.60, 4 Fe 2.82
Fe (0.8750, 0.8757, 0.7500)  2 Sb 2.60, 2 Nb 2.60, 4 Fe 2.82
Sb (0.7500, 0.2500, 0.5000)  4 Fe 2.60, 4 Nb 2.82
Sb (0.0000, 0.0000, 0.0000)  4 Fe 2.60, 4 Nb 2.82
Nb (0.2500, 0.7500, 0.5000)  4 Fe 2.60, 4 Sb 2.82
Nb (0.5000, 0.5000, 0.0000)  4 Fe 2.60, 4 Sb 2.82